Below is a relaxed Pm5Nd12Sc2 crystal, with properties calculated at the PBE level.

Lattice parameters (Å, degrees): 19.3819 7.4796 10.0549 90.00 116.31 90.00
Last column: nearest neighbours and their distance in Å.
Space group C2/m (No. 12)
Inequivalent atoms, fractional coordinates:
Pm  0.0000  0.0000  0.0000  2 Nd 3.00
Pm  0.1729  0.0000  0.6681  8 Nd 3.44-3.85, 2 Pm 3.75, 2 Sc 3.78
Pm  0.1734  0.5000  0.6918  2 Sc 3.38, 4 Nd 3.72-3.74, 2 Pm 3.75
Nd  0.0052  0.0000  0.7062  1 Pm 3.00, 2 Sc 3.06
Nd  0.0080  0.5000  0.8203  5 Nd 3.39-3.76, 2 Sc 3.48
Nd  0.1595  0.2488  0.3487  6 Nd 3.47-3.76, 3 Pm 3.62-3.83
Nd  0.1658  0.2400  0.0001  4 Nd 3.27-3.59
Sc  0.0000  0.3052  0.5000  1 Sc 2.91, 2 Nd 3.06

Results
The crystal system is monoclinic. The formation energy comes out at 0.158 eV/atom. The energy is -181.24 eV per cell. The value obtained for the density of states at the Fermi level is 65.6 states/eV per cell. The excess energy over the best structure of this formula in the dataset comes out at 13.8 meV/atom. As for the total moment: 0.00 μB per atom. For the volume, the calculation gives 1306.6 Å³ per cell.

Below is a relaxed Ho6Cd3Ru crystal, with properties calculated at the PBE level.

Lattice parameters (Å, degrees): 9.0782 5.2620 11.3339 90.00 108.51 90.00
Last column: nearest neighbours and their distance in Å.
Space group P2_1/m (No. 11)
Inequivalent atoms, fractional coordinates:
Ho  0.0340  0.2500  0.4145  7 Cd 3.06-3.39
Ho  0.1927  0.7500  0.1648  1 Ru 2.82, 2 Cd 3.15
Ho  0.2812  0.2500  0.0029  3 Ru 2.86-3.10, 1 Cd 3.14
Ho  0.3480  0.7500  0.8327  3 Ru 2.81-3.11
Ho  0.3792  0.2500  0.3459  3 Cd 3.19-3.30, 6 Ho 3.36-3.46
Ho  0.3891  0.2500  0.6501  1 Ru 2.78
Cd  0.0068  0.7500  0.8704  6 Ho 3.13-3.36, 2 Cd 3.32
Cd  0.0829  0.2500  0.7201  6 Ho 3.06-3.35, 3 Cd 3.26-3.32
Cd  0.2707  0.7500  0.4735  9 Ho 3.19-3.39, 1 Cd 3.26
Ru  0.4632  0.7500  0.0940  8 Ho 2.78-3.11

Results
The crystal system is monoclinic. The formation energy comes out at -0.276 eV/atom. The energy is -84.50 eV per cell. The value obtained for the density of states at the Fermi level is 14.1 states/eV per cell. As for the total moment: 0.00 μB per atom. For the volume, the calculation gives 513.4 Å³ per cell.

Below is a relaxed PrEr12Tl3 crystal, with properties calculated at the PBE level.

Lattice parameters (Å, degrees): 4.8349 4.8349 19.7679 90.00 90.00 90.00
Last column: nearest neighbours and their distance in Å.
Space group P4/mmm (No. 123)
Inequivalent atoms, fractional coordinates:
Pr  0.0000  0.0000  0.0000  12 Er 3.42-3.56
Er  0.0000  0.5000  0.1321  8 Er 3.42-3.56, 2 Tl 3.46, 2 Pr 3.56
Er  0.0000  0.5000  0.3778  4 Tl 3.39-3.42, 8 Er 3.40-3.42
Er  0.5000  0.5000  0.0000  4 Pr 3.42, 8 Er 3.56
Er  0.5000  0.5000  0.2566  8 Er 3.40-3.45, 4 Tl 3.42
Er  0.5000  0.5000  0.5000  8 Er 3.42, 4 Tl 3.42
Tl  0.0000  0.0000  0.2574  12 Er 3.39-3.46
Tl  0.0000  0.0000  0.5000  12 Er 3.42

Results
The crystal system is tetragonal. The formation energy comes out at -0.112 eV/atom. The energy is -68.42 eV per cell. The value obtained for the density of states at the Fermi level is 19.7 states/eV per cell. As for the total moment: 0.00 μB per atom. For the volume, the calculation gives 462.1 Å³ per cell.

Below is a relaxed NbAuCl2F crystal, with properties calculated at the PBE level.

Lattice parameters (Å, degrees): 5.1998 5.1998 4.2072 90.00 90.00 90.00
Last column: nearest neighbours and their distance in Å.
Space group P4/mmm (No. 123)
Inequivalent atoms, fractional coordinates:
Nb  0.0000  0.0000  0.0000  8 Cl 3.34, 4 F 3.68
Au  0.5000  0.5000  0.5000  2 F 2.10
Cl  0.0000  0.5000  0.5000  2 Au 2.60
F  0.5000  0.5000  0.0000  2 Au 2.10

Results
The crystal system is tetragonal. The energy is -17.81 eV per cell. The value obtained for the density of states at the Fermi level is 4.8 states/eV per cell. As for the total moment: 0.70 μB per atom. For the volume, the calculation gives 113.8 Å³ per cell. The value obtained for the formation energy (no corrections) is 0.22 eV/atom.

Below is a relaxed CdSi2Hg crystal, with properties calculated at the PBE level.

Lattice parameters (Å, degrees): 6.8805 6.8805 6.8805 90.00 90.00 90.00
Last column: nearest neighbours and their distance in Å.
Space group Fm-3m (No. 225)
Inequivalent atoms, fractional coordinates:
Cd  0.0000  0.0000  0.0000  8 Si 2.98
Si  0.2500  0.2500  0.2500  4 Hg 2.98, 4 Cd 2.98
Hg  0.0000  0.0000  0.5000  8 Si 2.98

Results
The crystal system is cubic. The energy is -38.40 eV per cell. The value obtained for the density of states at the Fermi level is 5.1 states/eV per cell. The excess energy over the best structure of this formula in the dataset comes out at 401.5 meV/atom. As for the total moment: 0.00 μB per atom. For the volume, the calculation gives 325.7 Å³ per cell. The value obtained for the formation energy (no corrections) is 0.62 eV/atom.

Below is a relaxed KZrW2 crystal, with properties calculated at the PBE level.

Lattice parameters (Å, degrees): 8.8416 2.7463 8.4044 90.00 90.97 90.00
Last column: nearest neighbours and their distance in Å.
Space group Cm (No. 8)
Inequivalent atoms, fractional coordinates:
K  0.0000  0.0000  0.0000  2 K 2.75
Zr  0.2412  0.0000  0.6310  2 Zr 2.75, 5 W 2.82-3.06
W  0.0025  0.5000  0.4437  5 W 2.55-2.80, 1 Zr 2.82
W  0.2569  0.5000  0.3063  5 W 2.55-2.80

Results
The crystal system is monoclinic. The formation energy comes out at 0.973 eV/atom. The energy is -63.32 eV per cell. The value obtained for the density of states at the Fermi level is 6.6 states/eV per cell. The excess energy over the best structure of this formula in the dataset comes out at 289.6 meV/atom. As for the total moment: 0.00 μB per atom. For the volume, the calculation gives 204.0 Å³ per cell.

Below is a relaxed CaRhCl crystal, with properties calculated at the PBE level.

Lattice parameters (Å, degrees): 5.1527 20.3863 5.1524 90.00 90.00 90.00
Last column: nearest neighbours and their distance in Å.
Space group Fmm2 (No. 42)
Inequivalent atoms, fractional coordinates:
Ca  0.0000  0.1190  0.0000  4 Cl 2.85, 4 Rh 3.03-3.04
Rh  0.2500  0.0000  0.2485  4 Rh 2.58
Cl  0.0000  0.1788  0.5001  4 Ca 2.85

Results
The crystal system is orthorhombic. The energy is -117.67 eV per cell. The value obtained for the density of states at the Fermi level is 17.0 states/eV per cell. The excess energy over the best structure of this formula in the dataset comes out at 5.8 meV/atom. As for the total moment: 0.04 μB per atom. For the volume, the calculation gives 541.2 Å³ per cell. The value obtained for the formation energy (no corrections) is -1.17 eV/atom.

Below is a relaxed Ca2La15Nd2 crystal, with properties calculated at the PBE level.

Lattice parameters (Å, degrees): 11.8561 11.8561 17.9410 90.00 90.00 120.00
Last column: nearest neighbours and their distance in Å.
Space group R-3m (No. 166, hexagonal axes)
Inequivalent atoms, fractional coordinates:
Ca  0.0000  0.0000  0.1682  15 La 4.19-4.53, 1 Nd 4.27
La  0.0000  0.2965  0.5000  8 La 3.49-3.89, 2 Nd 3.90
La  0.0000  0.5000  0.0000  8 La 3.49, 2 Nd 3.66
La  0.0078  0.5039  0.6418  6 La 3.46-3.51
Nd  0.0000  0.0000  0.4061  1 Nd 3.37, 3 La 3.66

Results
The crystal system is trigonal. The formation energy comes out at 0.189 eV/atom. The energy is -251.58 eV per cell. The value obtained for the density of states at the Fermi level is 99.1 states/eV per cell. As for the total moment: 0.00 μB per atom. For the volume, the calculation gives 2184.0 Å³ per cell.

Below is a relaxed Ca2TiTcBi crystal, with properties calculated at the PBE level.

Lattice parameters (Å, degrees): 5.6847 5.6847 4.4403 90.00 90.00 90.00
Last column: nearest neighbours and their distance in Å.
Space group P4/mmm (No. 123)
Inequivalent atoms, fractional coordinates:
Ca  0.0000  0.5000  0.0000  2 Tc 2.84
Ti  0.0000  0.0000  0.5000  2 Tc 2.22
Tc  0.0000  0.0000  0.0000  2 Ti 2.22
Bi  0.5000  0.5000  0.5000  8 Ca 3.61, 4 Ti 4.02

Results
The crystal system is tetragonal. The formation energy comes out at 0.272 eV/atom. The energy is -24.79 eV per cell. The value obtained for the density of states at the Fermi level is 4.3 states/eV per cell. As for the total moment: 0.00 μB per atom. For the volume, the calculation gives 143.5 Å³ per cell.

Below is a relaxed ZrTe3Cl crystal, with properties calculated at the PBE level.

Lattice parameters (Å, degrees): 5.2639 5.2639 5.2639 90.00 90.00 90.00
Last column: nearest neighbours and their distance in Å.
Space group Pm-3m (No. 221)
Inequivalent atoms, fractional coordinates:
Zr  0.0000  0.0000  0.0000  12 Te 3.72
Te  0.0000  0.5000  0.5000  2 Cl 2.63
Cl  0.5000  0.5000  0.5000  6 Te 2.63

Results
The crystal system is cubic. The energy is -16.54 eV per cell. The value obtained for the density of states at the Fermi level is 4.9 states/eV per cell. The excess energy over the best structure of this formula in the dataset comes out at 805.8 meV/atom. As for the total moment: 0.00 μB per atom. For the volume, the calculation gives 145.9 Å³ per cell. The value obtained for the formation energy (no corrections) is 0.66 eV/atom.

Below is a relaxed K2LiCo crystal, with properties calculated at the PBE level.

Lattice parameters (Å, degrees): 5.6334 5.6334 8.0519 90.00 90.00 90.00
Last column: nearest neighbours and their distance in Å.
Space group I-4m2 (No. 119)
Inequivalent atoms, fractional coordinates:
K  0.0000  0.0000  0.0000  4 Li 3.46, 4 K 3.46
K  0.0000  0.5000  0.2500  4 K 3.46, 4 Co 3.46
Li  0.0000  0.5000  0.7500  4 Co 3.46, 4 K 3.46
Co  0.0000  0.0000  0.5000  4 K 3.46, 4 Li 3.46

Results
The crystal system is tetragonal. The formation energy comes out at 0.818 eV/atom. The energy is -15.89 eV per cell. The value obtained for the density of states at the Fermi level is 17.9 states/eV per cell. The excess energy over the best structure of this formula in the dataset comes out at 187.5 meV/atom. As for the total moment: 0.41 μB per atom. For the volume, the calculation gives 255.5 Å³ per cell.

Below is a relaxed MgSc crystal, with properties calculated at the PBE level.

Lattice parameters (Å, degrees): 10.9879 10.9879 3.2468 90.00 90.00 90.00
Last column: nearest neighbours and their distance in Å.
Space group I4/m (No. 87)
Inequivalent atoms, fractional coordinates:
Mg  0.0375  0.3409  0.0000  6 Mg 3.01-3.25, 5 Sc 3.08-3.27
Sc  0.1404  0.8342  0.5000  5 Mg 3.08-3.27, 6 Sc 3.25-3.44

Results
The crystal system is tetragonal. The formation energy comes out at 0.135 eV/atom. The energy is -61.24 eV per cell. The value obtained for the density of states at the Fermi level is 22.3 states/eV per cell. As for the total moment: 0.28 μB per atom. For the volume, the calculation gives 392.0 Å³ per cell.